No. 1
Entry from the Alexandria database: ScMoSe2 after structural relaxation (PBE).

```
ScMoSe2
1.0
4.192 -0.010 0.015
2.723 3.188 0.015
1.480 0.680 5.563
Sc Se Mo
1 2 1
Direct
0.250 0.250 0.250
0.004 0.004 0.977
0.496 0.496 0.523
0.750 0.750 0.750
```

Output
- Polymorph energy (0 for the lowest one): 0.156 eV per atom
- M_tot: 0.00 Bohr magnetons per cell
- N(E_F): 2.19 states/eV per cell
- Space group: C2/m
- Crystal system: monoclinic
- Formation energy (no corrections): -0.6194 eV/atom

No. 2
Entry from the Alexandria database: Ta2NiSnTe after structural relaxation (PBE).

```
Ta2NiSnTe
1.0
4.843 0.000 0.000
0.000 4.843 0.000
0.000 0.000 4.562
Ta Te Ni Sn
2 1 1 1
Direct
0.000 0.500 0.000
0.500 0.000 0.000
0.500 0.500 0.500
0.000 0.000 0.000
0.000 0.000 0.500
```

Output
- M_tot: 0.10 Bohr magnetons per cell
- N(E_F): 6.87 states/eV per cell
- Space group: P4/mmm
- Crystal system: tetragonal
- Formation energy (no corrections): 0.7683 eV/atom

No. 3
Entry from the Alexandria database: ErTiSnPd after structural relaxation (PBE).

```
ErTiSnPd
1.0
-0.838 3.972 2.737
-3.598 3.093 -1.210
-4.035 0.263 2.762
Sn Er Pd Ti
1 1 1 1
Direct
0.500 0.500 0.500
0.750 0.750 0.750
0.000 0.000 0.000
0.250 0.250 0.250
```

Output
- Formation enthalpy at 0 K: -1.9 eV per formula unit
- M_tot: 1.44 Bohr magnetons per cell
- N(E_F): 3.77 states/eV per cell
- Space group: F-43m
- Crystal system: cubic

No. 4
Entry from the Alexandria database: Mn4TlSe8 after structural relaxation (PBE).

```
Mn4TlSe8
1.0
0.896 -5.916 3.811
6.054 -3.662 -0.506
5.436 1.137 7.090
Tl Se Mn
1 8 4
Direct
0.500 0.500 0.500
0.226 0.226 0.825
0.226 0.724 0.825
0.774 0.774 0.175
0.276 0.774 0.175
0.275 0.275 0.175
0.724 0.226 0.825
0.725 0.725 0.825
0.774 0.276 0.175
0.000 0.000 0.000
0.500 0.500 0.000
0.000 0.500 0.000
0.500 0.000 0.000
```

Output
- M_tot: 11.43 Bohr magnetons per cell
- N(E_F): 6.61 states/eV per cell
- Space group: R-3m
- Crystal system: trigonal
- Formation energy (no corrections): -0.4658 eV/atom

No. 5
Entry from the Alexandria database: CdSn2Pb6 after structural relaxation (PBE).

```
CdSn2Pb6
1.0
-3.211 -0.858 -5.521
-6.070 -4.597 5.375
-3.265 8.563 1.698
Sn Pb Cd
4 12 2
Direct
0.385 0.631 0.610
0.615 0.369 0.390
0.115 0.390 0.369
0.885 0.610 0.631
0.761 0.046 0.248
0.506 0.321 0.740
0.715 0.924 0.590
0.239 0.954 0.752
0.494 0.679 0.260
0.739 0.752 0.954
0.285 0.076 0.410
0.261 0.248 0.046
0.785 0.410 0.076
0.994 0.260 0.679
0.215 0.590 0.924
0.006 0.740 0.321
0.750 0.083 0.917
0.250 0.917 0.083
```

Output
- Formation enthalpy at 0 K: 0.5 eV per formula unit
- Polymorph energy (0 for the lowest one): 0.020 eV per atom
- M_tot: 0.00 Bohr magnetons per cell
- N(E_F): 6.91 states/eV per cell
- Space group: C2/c
- Crystal system: monoclinic

No. 6
Entry from the Alexandria database: SiOsF2 after structural relaxation (PBE).

```
SiOsF2
1.0
0.914 -0.352 8.118
3.129 1.010 7.486
0.807 2.304 7.804
Si Os F
1 1 2
Direct
0.500 0.500 0.500
0.000 0.000 0.000
0.916 0.916 0.916
0.084 0.084 0.084
```

Output
- Polymorph energy (0 for the lowest one): 0.177 eV per atom
- M_tot: 0.00 Bohr magnetons per cell
- N(E_F): 2.27 states/eV per cell
- Space group: R-3m
- Crystal system: trigonal
- Formation energy (no corrections): -0.6419 eV/atom